The following is a meta-GGA SCAN calculation of FeBiPO2 at its PBEsol-relaxed geometry, from Alexandria.

Unit cell a=4.067 b=4.067 c=5.461 alpha=90.00 beta=90.00 gamma=90.00
Site moments in Bohr magnetons follow the coordinates.
Atoms (fractional coordinates):
P 0.000 0.000 0.500  0.01
O 0.500 0.000 0.000  0.03
Bi 0.000 0.000 0.000  0.01
O 0.000 0.500 0.000  0.03
Fe 0.500 0.500 0.500  3.63

Output
Total magnetization: 3.90 μB/cell
E_form (uncorrected): 0.37 eV/atom
Space group: P4/mmm (123)